Ba2CrGa2O6 | PBE+U | relaxed

Cell lengths 5.9096, 5.9096, 6.5649 Å; angles 63.25, 63.25, 60.00 degrees
With the nearest neighbours (Å) after each atom.
Sites, in units of the cell vectors:
Ba1 0.7818 0.7818 0.6545  9 O 2.86-3.03
Ba2 0.2182 0.2182 0.3455  9 O 2.86-3.03
Cr1 0.0000 0.0000 0.0000  6 O 2.06
Ga1 0.4240 0.4240 0.7279  3 O 1.83
Ga2 0.5760 0.5760 0.2721  3 O 1.83
O1 0.7669 0.7669 0.2310  1 Ga 1.83
O2 0.2352 0.7669 0.2310  1 Ga 1.83
O3 0.7669 0.2352 0.2310  1 Ga 1.83
O4 0.2331 0.7648 0.7690  1 Ga 1.83
O5 0.7648 0.2331 0.7690  1 Ga 1.83
O6 0.2331 0.2331 0.7690  1 Ga 1.83

Properties
- Calculated total energy: -0.2312 hartree per atom
- Calculated volume: 15.421 Å³ per atom